# La2TiP3Rh4

A relaxed structure of La2TiP3Rh4 (PBE, Alexandria via LeMat-Bulk).

## Properties
ΔH_f (0 K) ... -1087 meV/atom
Symmetry ... P-4m2 (115)
Total moment ... 0.0000 μB/atom

Structure (POSCAR):
```
La2TiP3Rh4
1.0
4.089 0.000 0.000
0.000 4.089 0.000
0.000 0.000 10.443
La Ti P Rh
2 1 3 4
Direct
0.000 0.500 0.242
0.500 0.000 0.758
0.000 0.000 0.500
0.000 0.500 0.867
0.500 0.000 0.133
0.500 0.500 0.500
0.000 0.000 0.000
0.000 0.500 0.636
0.500 0.000 0.364
0.500 0.500 0.000
```



# La2TlP3Rh12

A relaxed structure of La2TlP3Rh12 (PBE, Alexandria via LeMat-Bulk).

## Properties
ΔH_f (0 K) ... -211 meV/atom
Symmetry ... R-3m (166)
Total moment ... 0.0000 μB/atom

Structure (POSCAR):
```
La2TlP3Rh12
1.0
4.408 2.545 4.568
-4.408 2.545 4.568
0.000 -5.090 4.568
La Tl P Rh
2 1 3 12
Direct
0.114 0.114 0.114
0.886 0.886 0.886
0.500 0.500 0.500
0.000 0.500 0.500
0.500 0.000 0.500
0.500 0.500 0.000
0.147 0.672 0.672
0.153 0.153 0.588
0.153 0.588 0.153
0.328 0.328 0.853
0.328 0.853 0.328
0.412 0.847 0.847
0.588 0.153 0.153
0.672 0.147 0.672
0.672 0.672 0.147
0.847 0.412 0.847
0.847 0.847 0.412
0.853 0.328 0.328
```



# La2TmP3Rh12

A relaxed structure of La2TmP3Rh12 (PBE, Alexandria via LeMat-Bulk).

## Properties
ΔH_f (0 K) ... -386 meV/atom
Symmetry ... R-3m (166)
Total moment ... 0.0000 μB/atom

Structure (POSCAR):
```
La2TmP3Rh12
1.0
4.441 2.564 4.454
-4.441 2.564 4.454
0.000 -5.128 4.454
La Tm P Rh
2 1 3 12
Direct
0.117 0.117 0.117
0.883 0.883 0.883
0.500 0.500 0.500
0.000 0.500 0.500
0.500 0.000 0.500
0.500 0.500 0.000
0.151 0.151 0.583
0.151 0.583 0.151
0.154 0.677 0.677
0.323 0.323 0.846
0.323 0.846 0.323
0.417 0.849 0.849
0.583 0.151 0.151
0.677 0.154 0.677
0.677 0.677 0.154
0.846 0.323 0.323
0.849 0.417 0.849
0.849 0.849 0.417
```



# La2TmP3Rh4

A relaxed structure of La2TmP3Rh4 (PBE, Alexandria via LeMat-Bulk).

## Properties
ΔH_f (0 K) ... -1104 meV/atom
Symmetry ... P-4m2 (115)
Total moment ... 0.0001 μB/atom

Structure (POSCAR):
```
La2TmP3Rh4
1.0
4.057 0.000 0.000
0.000 4.057 0.000
0.000 0.000 11.224
La Tm P Rh
2 1 3 4
Direct
0.000 0.500 0.229
0.500 0.000 0.771
0.000 0.000 0.500
0.000 0.500 0.878
0.500 0.000 0.122
0.500 0.500 0.500
0.000 0.000 0.000
0.000 0.500 0.665
0.500 0.000 0.335
0.500 0.500 0.000
```



# LaTmP2Rh5

A relaxed structure of LaTmP2Rh5 (PBE, Alexandria via LeMat-Bulk).

## Properties
ΔH_f (0 K) ... -829 meV/atom
Symmetry ... P4/mmm (123)
Total moment ... 0.0000 μB/atom

Structure (POSCAR):
```
LaTmP2Rh5
1.0
4.067 0.000 0.000
0.000 4.067 0.000
0.000 0.000 10.617
La Tm P Rh
1 1 2 5
Direct
0.000 0.000 0.000
0.000 0.000 0.500
0.500 0.500 0.216
0.500 0.500 0.784
0.000 0.500 0.309
0.000 0.500 0.691
0.500 0.000 0.309
0.500 0.000 0.691
0.500 0.500 0.000
```



# La2UP3Rh12

A relaxed structure of La2UP3Rh12 (PBE, Alexandria via LeMat-Bulk).

## Properties
ΔH_f (0 K) ... -402 meV/atom
Symmetry ... R-3m (166)
Total moment ... 0.0000 μB/atom

Structure (POSCAR):
```
La2UP3Rh12
1.0
4.124 2.381 5.683
-4.124 2.381 5.683
0.000 -4.762 5.683
La U P Rh
2 1 3 12
Direct
0.102 0.102 0.102
0.898 0.898 0.898
0.500 0.500 0.500
0.000 0.500 0.500
0.500 0.000 0.500
0.500 0.500 0.000
0.122 0.638 0.638
0.165 0.165 0.591
0.165 0.591 0.165
0.362 0.362 0.878
0.362 0.878 0.362
0.409 0.835 0.835
0.591 0.165 0.165
0.638 0.122 0.638
0.638 0.638 0.122
0.835 0.409 0.835
0.835 0.835 0.409
0.878 0.362 0.362
```



# LaUP2Rh5

A relaxed structure of LaUP2Rh5 (PBE, Alexandria via LeMat-Bulk).

## Properties
ΔH_f (0 K) ... -246 meV/atom
Symmetry ... P4/mmm (123)
Total moment ... 0.3776 μB/atom

Structure (POSCAR):
```
LaUP2Rh5
1.0
4.375 0.000 0.000
0.000 4.375 0.000
0.000 0.000 10.207
La U P Rh
1 1 2 5
Direct
0.000 0.000 0.000
0.500 0.500 0.500
0.500 0.500 0.244
0.500 0.500 0.756
0.000 0.500 0.205
0.000 0.500 0.795
0.500 0.000 0.205
0.500 0.000 0.795
0.500 0.500 0.000
```



# LaYP2Rh5

A relaxed structure of LaYP2Rh5 (PBE, Alexandria via LeMat-Bulk).

## Properties
ΔH_f (0 K) ... -814 meV/atom
Symmetry ... P4/mmm (123)
Total moment ... 0.0000 μB/atom

Structure (POSCAR):
```
LaYP2Rh5
1.0
4.065 0.000 0.000
0.000 4.065 0.000
0.000 0.000 10.764
La Y P Rh
1 1 2 5
Direct
0.000 0.000 0.000
0.000 0.000 0.500
0.500 0.500 0.213
0.500 0.500 0.787
0.000 0.500 0.304
0.000 0.500 0.696
0.500 0.000 0.304
0.500 0.000 0.696
0.500 0.500 0.000
```



# La2YP3Rh12

A relaxed structure of La2YP3Rh12 (PBE, Alexandria via LeMat-Bulk).

## Properties
ΔH_f (0 K) ... -375 meV/atom
Symmetry ... R-3m (166)
Total moment ... 0.0000 μB/atom

Structure (POSCAR):
```
La2YP3Rh12
1.0
4.453 2.571 4.448
-4.453 2.571 4.448
0.000 -5.142 4.448
La Y P Rh
2 1 3 12
Direct
0.117 0.117 0.117
0.883 0.883 0.883
0.500 0.500 0.500
0.000 0.500 0.500
0.500 0.000 0.500
0.500 0.500 0.000
0.150 0.150 0.584
0.150 0.584 0.150
0.152 0.678 0.678
0.322 0.322 0.848
0.322 0.848 0.322
0.416 0.850 0.850
0.584 0.150 0.150
0.678 0.152 0.678
0.678 0.678 0.152
0.848 0.322 0.322
0.850 0.416 0.850
0.850 0.850 0.416
```



# LaZnP2Rh5

A relaxed structure of LaZnP2Rh5 (PBE, Alexandria via LeMat-Bulk).

## Properties
ΔH_f (0 K) ... -670 meV/atom
Symmetry ... P4/mmm (123)
Total moment ... 0.0000 μB/atom

Structure (POSCAR):
```
LaZnP2Rh5
1.0
4.107 0.000 0.000
0.000 4.107 0.000
0.000 0.000 9.516
La Zn P Rh
1 1 2 5
Direct
0.000 0.000 0.000
0.000 0.000 0.500
0.500 0.500 0.239
0.500 0.500 0.761
0.000 0.500 0.340
0.000 0.500 0.660
0.500 0.000 0.340
0.500 0.000 0.660
0.500 0.500 0.000
```



# LaZnPRh6

A relaxed structure of LaZnPRh6 (PBE, Alexandria via LeMat-Bulk).

## Properties
ΔH_f (0 K) ... -218 meV/atom
Symmetry ... Imma (74)
Total moment ... 0.0000 μB/atom

Structure (POSCAR):
```
LaZnPRh6
1.0
-2.995 4.562 5.703
2.995 -4.562 5.703
2.995 4.562 -5.703
La Zn P Rh
2 2 2 12
Direct
0.431 0.181 0.250
0.569 0.819 0.750
0.000 0.000 0.500
0.000 0.500 0.000
0.000 0.500 0.500
0.500 0.500 0.000
0.118 0.359 0.216
0.118 0.902 0.759
0.181 0.931 0.250
0.311 0.561 0.750
0.357 0.098 0.716
0.357 0.641 0.259
0.643 0.359 0.741
0.643 0.902 0.284
0.689 0.439 0.250
0.819 0.069 0.750
0.882 0.098 0.241
0.882 0.641 0.784
```



# LaZn2PRh2

A relaxed structure of LaZn2PRh2 (PBE, Alexandria via LeMat-Bulk).

## Properties
ΔH_f (0 K) ... -582 meV/atom
Symmetry ... P4/mmm (123)
Total moment ... 0.0000 μB/atom

Structure (POSCAR):
```
LaZn2PRh2
1.0
4.483 0.000 0.000
0.000 4.483 0.000
0.000 0.000 5.691
La Zn P Rh
1 2 1 2
Direct
0.000 0.000 0.000
0.500 0.500 0.232
0.500 0.500 0.768
0.000 0.000 0.500
0.000 0.500 0.500
0.500 0.000 0.500
```



# La2ZnP3Rh12

A relaxed structure of La2ZnP3Rh12 (PBE, Alexandria via LeMat-Bulk).

## Properties
ΔH_f (0 K) ... -280 meV/atom
Symmetry ... R-3m (166)
Total moment ... 0.0000 μB/atom

Structure (POSCAR):
```
La2ZnP3Rh12
1.0
4.256 2.457 5.011
-4.256 2.457 5.011
0.000 -4.915 5.011
La Zn P Rh
2 1 3 12
Direct
0.110 0.110 0.110
0.890 0.890 0.890
0.500 0.500 0.500
0.000 0.500 0.500
0.500 0.000 0.500
0.500 0.500 0.000
0.142 0.649 0.649
0.168 0.168 0.587
0.168 0.587 0.168
0.351 0.351 0.858
0.351 0.858 0.351
0.413 0.832 0.832
0.587 0.168 0.168
0.649 0.142 0.649
0.649 0.649 0.142
0.832 0.413 0.832
0.832 0.832 0.413
0.858 0.351 0.351
```



# LaZnPRh2

A relaxed structure of LaZnPRh2 (PBE, Alexandria via LeMat-Bulk).

## Properties
ΔH_f (0 K) ... -190 meV/atom
Symmetry ... P4/mmm (123)
Total moment ... 0.0000 μB/atom

Structure (POSCAR):
```
LaZnPRh2
1.0
4.431 0.000 0.000
0.000 4.431 0.000
0.000 0.000 5.580
La Zn P Rh
1 1 1 2
Direct
0.000 0.000 0.000
0.500 0.500 0.000
0.000 0.000 0.500
0.000 0.500 0.500
0.500 0.000 0.500
```



# La2P4Ru5

A relaxed structure of La2P4Ru5 (PBE, Alexandria via LeMat-Bulk).

## Properties
ΔH_f (0 K) ... -826 meV/atom
Symmetry ... Fmmm (69)
Total moment ... 0.0000 μB/atom

Structure (POSCAR):
```
La2P4Ru5
1.0
0.000 5.316 6.152
2.892 0.000 6.152
2.892 5.316 0.000
La P Ru
2 4 5
Direct
0.136 0.136 0.864
0.864 0.864 0.136
0.216 0.515 0.485
0.485 0.784 0.216
0.515 0.216 0.784
0.784 0.485 0.515
0.000 0.000 0.500
0.250 0.250 0.250
0.500 0.500 0.000
0.500 0.500 0.500
0.750 0.750 0.750
```



# La4PRu

A relaxed structure of La4PRu (PBE, Alexandria via LeMat-Bulk).

## Properties
ΔH_f (0 K) ... 621 meV/atom
Symmetry ... F-43m (216)
Total moment ... 0.0930 μB/atom

Structure (POSCAR):
```
La4PRu
1.0
0.000 4.343 4.343
4.343 0.000 4.343
4.343 4.343 0.000
La P Ru
4 1 1
Direct
0.125 0.125 0.125
0.125 0.125 0.625
0.125 0.625 0.125
0.625 0.125 0.125
0.750 0.750 0.750
0.500 0.500 0.500
```



# LaP2Ru2

A relaxed structure of LaP2Ru2 (PBE, Alexandria via LeMat-Bulk).

## Properties
Energy above the lowest structure with this stoichiometry ... 0 meV per atom
ΔH_f (0 K) ... -1050 meV/atom
Symmetry ... I4/mmm (139)
Total moment ... 0.0000 μB/atom

Structure (POSCAR):
```
LaP2Ru2
1.0
-2.027 2.027 5.405
2.027 -2.027 5.405
2.027 2.027 -5.405
La P Ru
1 2 2
Direct
0.000 0.000 0.000
0.358 0.358 0.000
0.642 0.642 0.000
0.250 0.750 0.500
0.750 0.250 0.500
```



# La3PRu

A relaxed structure of La3PRu (PBE, Alexandria via LeMat-Bulk).

## Properties
Energy above the lowest structure with this stoichiometry ... 0 meV per atom
ΔH_f (0 K) ... -293 meV/atom
Symmetry ... Pm-3m (221)
Total moment ... 0.0000 μB/atom

Structure (POSCAR):
```
La3PRu
1.0
5.375 0.000 0.000
0.000 5.375 0.000
0.000 0.000 5.375
La P Ru
3 1 1
Direct
0.000 0.000 0.500
0.000 0.500 0.000
0.500 0.000 0.000
0.500 0.500 0.500
0.000 0.000 0.000
```



# La2PRu2

A relaxed structure of La2PRu2 (PBE, Alexandria via LeMat-Bulk).

## Properties
ΔH_f (0 K) ... -426 meV/atom
Symmetry ... P4/mbm (127)
Total moment ... 0.0000 μB/atom

Structure (POSCAR):
```
La2PRu2
1.0
6.464 0.000 0.000
0.000 6.464 0.000
0.000 0.000 4.835
La P Ru
4 2 4
Direct
0.180 0.320 0.000
0.320 0.820 0.000
0.680 0.180 0.000
0.820 0.680 0.000
0.000 0.000 0.500
0.500 0.500 0.500
0.148 0.648 0.500
0.352 0.148 0.500
0.648 0.852 0.500
0.852 0.352 0.500
```



# LaP3Ru2

A relaxed structure of LaP3Ru2 (PBE, Alexandria via LeMat-Bulk).

## Properties
Energy above the lowest structure with this stoichiometry ... 0 meV per atom
ΔH_f (0 K) ... -518 meV/atom
Symmetry ... P6_3/mcm (193)
Total moment ... 0.0000 μB/atom

Structure (POSCAR):
```
LaP3Ru2
1.0
6.328 0.000 0.000
-3.164 5.480 0.000
0.000 0.000 6.014
La P Ru
2 6 4
Direct
0.000 0.000 0.000
0.000 0.000 0.500
0.000 0.397 0.250
0.000 0.603 0.750
0.397 0.000 0.250
0.397 0.397 0.750
0.603 0.000 0.750
0.603 0.603 0.250
0.333 0.667 0.000
0.333 0.667 0.500
0.667 0.333 0.000
0.667 0.333 0.500
```